Entry 1:
VASP calculation (PBE) on crystalline Ni2AgRu at its relaxed geometry.

Cell: 2.636 4.110 5.113 Å, 90.00 104.83 90.00°
Fractional coordinates of all 4 atoms:
Ni: 0.000 0.000 0.000
Ni: 0.131 0.500 0.269
Ag: 0.392 0.500 0.783
Ru: 0.722 0.000 0.448

Results
SG: Pm (6)
final energy: -5.605 eV per atom

=====

Entry 2:
VASP calculation (PBE) on crystalline NiAgRu2 at its relaxed geometry.

Cell: 2.662 4.321 5.161 Å, 90.00 104.75 90.00°
Fractional coordinates of all 4 atoms:
Ni: 0.000 0.000 0.000
Ag: 0.500 0.000 0.500
Ru: 0.156 0.500 0.774
Ru: 0.844 0.500 0.226

Results
SG: P2/m (10)
final energy: -6.285 eV per atom

=====

no.,DOS(E_F) (states/eV/f.u.)
1,5.729
2,5.220